# 1
Tb3Pr6Ho2: optimized geometry, PBE.

```
Tb3Pr6Ho2
1.0
6.4268 -1.4909 2.2432
-1.6186 5.9531 -0.3071
3.0870 -1.7273 11.5829
Tb Pr Ho
3 6 2
Cartesian
0.0000 0.0000 0.0000
1.5804 4.4389 7.4541
6.3148 -1.7041 6.0649
5.6901 1.3428 4.0256
1.7964 4.3210 3.7360
2.2051 1.3920 9.4935
6.0988 -1.5862 9.7830
2.4516 1.4086 5.7243
5.4435 1.3262 7.7948
5.2322 1.6823 11.4333
2.6630 1.0525 2.0857
```

Calculated values
Energy in eV/atom: -4.623
ΔE to the lowest computed polymorph in meV per atom: 0

---

# 2
Tb4Pr11Ho9: optimized geometry, PBE.

```
Tb4Pr11Ho9
1.0
-1.3848 0.4401 3.3865
12.2156 -7.4251 5.9600
2.1270 15.3003 -1.1185
Tb Pr Ho
4 11 9
Cartesian
7.7090 7.7074 4.1557
5.2488 0.6078 4.0723
9.7609 3.0853 5.5954
3.1969 5.2300 2.6326
9.3068 10.2303 2.4763
5.0358 -2.3551 2.3653
12.9618 1.9969 5.0408
1.3808 5.8783 -0.1993
8.4994 0.9459 3.3526
5.8432 6.9293 1.4889
10.5981 -3.7817 4.8252
3.7445 11.6569 0.0164
0.0000 0.0000 0.0000
10.1546 5.5756 3.4278
4.1880 2.2995 1.4137
7.3679 -1.9293 5.2685
5.5899 10.2445 2.9595
2.6742 8.6436 1.9753
10.2836 -0.3284 6.2527
10.9054 8.6418 5.3414
2.0524 -0.3266 2.8866
12.3714 5.3394 6.3700
0.5864 2.9759 1.8580
6.4789 4.1576 4.1140
```

Calculated values
Energy in eV/atom: -4.621

---

# 3
Tb5Pr3Ho4: optimized geometry, PBE.

```
Tb5Pr3Ho4
1.0
-3.6775 -4.6018 -4.0843
9.8684 -1.4935 5.3810
-12.9141 -0.5099 -0.3516
Tb Pr Ho
5 3 4
Cartesian
-5.4137 -2.9572 1.9435
-8.2958 -2.5559 -2.2179
2.1804 -4.1934 -0.3575
-8.9036 -2.4119 1.3026
-1.3094 -3.6480 -0.9984
-4.8029 -3.1180 -1.6025
-6.4570 -0.2550 -0.1758
-1.9202 -3.4873 2.5476
-3.7711 -5.8132 0.5088
-7.2524 -5.2549 -0.1072
0.5293 -1.3503 1.0523
-2.9520 -0.7921 0.4363
```

Calculated values
Energy in eV/atom: -4.633
ΔE to the lowest computed polymorph in meV per atom: 0

---

# 4
Tb5Pr4Ho2: optimized geometry, PBE.

```
Tb5Pr4Ho2
1.0
5.5416 0.0000 -1.3518
-0.3232 6.5496 -1.3250
-0.5252 1.8191 9.8813
Tb Pr Ho
5 4 2
Cartesian
3.8856 4.9738 3.8942
0.8075 3.3949 3.3102
4.3955 2.0588 5.9843
2.7708 0.0000 -0.6759
0.2976 6.3099 1.2201
1.0756 7.2033 4.4092
4.6995 6.4119 7.2306
3.6175 1.1654 2.7952
-0.0064 1.9568 -0.0261
1.6650 4.3893 6.8254
3.0281 3.9794 0.3791
```

Calculated values
Energy in eV/atom: -4.568
ΔE to the lowest computed polymorph in meV per atom: 0

---

Short version: DFT formation energy = 0.08; 0.06; 0.02; 0.11 eV per atom, in the order given.